A geometry-optimized Mg3HIr2 structure. Source: the Alexandria database, functional GGA-PBE.

The structure in POSCAR format:
```
Mg3HIr2
1.0
4.261 0.000 0.000
-2.132 3.755 -2.872
0.000 0.000 5.736
Mg H Ir
3 1 2
Direct
0.518 0.107 0.142
0.128 0.327 0.753
0.338 0.746 0.462
0.965 0.001 0.090
0.822 0.715 0.708
0.822 0.715 0.185
```

Output
* total energy: -27.6 eV/cell
* ρ: 8.29 Mg/m³
* magnetization: 0.0 Bohr magnetons per cell